# V2Cu3O8

V2Cu3O8 at its PBEsol-relaxed geometry (SCAN, Alexandria via LeMat-Bulk).

ΔE_f (raw)   -1.737 eV per atom
Density   4.63 g cm⁻³
Uncorrected energy   -11.77 eV per atom
ΔE to the lowest computed polymorph   0.009 eV/atom

CIF file:
```
data_V2Cu3O8
_space_group_name_H-M_alt 'P -1'
_space_group_IT_number 2
_space_group_name_Hall '-P 1'
_cell_length_a 5.103
_cell_length_b 5.277
_cell_length_c 6.540
_cell_angle_alpha 68.34
_cell_angle_beta 88.18
_cell_angle_gamma 68.26
loop_
_atom_site_label
_atom_site_type_symbol
_atom_site_fract_x
_atom_site_fract_y
_atom_site_fract_z
V1 V 0.125 0.157 0.214
Cu1 Cu 0.231 0.286 0.681
Cu2 Cu 0.500 0.500 0.000
O1 O 0.118 0.344 0.386
O2 O 0.198 0.871 0.834
O3 O 0.262 0.318 0.964
O4 O 0.362 0.817 0.341
```

# ScCr4W

ScCr4W at its PBEsol-relaxed geometry (SCAN, Alexandria via LeMat-Bulk).

Density   9.08 g cm⁻³
Uncorrected energy   -26.16 eV per atom
ΔH_f (0 K)   0.083 eV per atom

CIF file:
```
data_ScCr4W
_space_group_name_H-M_alt 'F -4 3 m'
_space_group_IT_number 216
_space_group_name_Hall 'F -4 2 3'
_cell_length_a 6.836
_cell_length_b 6.836
_cell_length_c 6.836
_cell_angle_alpha 90.00
_cell_angle_beta 90.00
_cell_angle_gamma 90.00
loop_
_atom_site_label
_atom_site_type_symbol
_atom_site_fract_x
_atom_site_fract_y
_atom_site_fract_z
Sc1 Sc 0.000 0.000 0.000
Cr1 Cr 0.125 0.125 0.625
W1 W 0.250 0.250 0.250
```

# NiH3W

NiH3W at its PBEsol-relaxed geometry (SCAN, Alexandria via LeMat-Bulk).

Density   12.44 g cm⁻³
Uncorrected energy   -18.80 eV per atom

CIF file:
```
data_NiH3W
_space_group_name_H-M_alt 'P m -3 m'
_space_group_IT_number 221
_space_group_name_Hall '-P 4 2 3'
_cell_length_a 3.200
_cell_length_b 3.200
_cell_length_c 3.200
_cell_angle_alpha 90.00
_cell_angle_beta 90.00
_cell_angle_gamma 90.00
loop_
_atom_site_label
_atom_site_type_symbol
_atom_site_fract_x
_atom_site_fract_y
_atom_site_fract_z
Ni1 Ni 0.000 0.000 0.000
H1 H 0.000 0.000 0.500
W1 W 0.500 0.500 0.500
```

# InPCl

InPCl at its PBEsol-relaxed geometry (SCAN, Alexandria via LeMat-Bulk).

ΔE_f (raw)   0.142 eV per atom
Density   4.69 g cm⁻³
Uncorrected energy   -17.11 eV per atom
ΔE to the lowest computed polymorph   0.285 eV/atom

CIF file:
```
data_InPCl
_space_group_name_H-M_alt 'I 4 m m'
_space_group_IT_number 107
_space_group_name_Hall 'I 4 -2'
_cell_length_a 3.226
_cell_length_b 3.226
_cell_length_c 12.328
_cell_angle_alpha 90.00
_cell_angle_beta 90.00
_cell_angle_gamma 90.00
loop_
_atom_site_label
_atom_site_type_symbol
_atom_site_fract_x
_atom_site_fract_y
_atom_site_fract_z
In1 In 0.000 0.000 0.000
P1 P 0.000 0.000 0.631
Cl1 Cl 0.000 0.000 0.356
```

# YGeP2O

YGeP2O at its PBEsol-relaxed geometry (SCAN, Alexandria via LeMat-Bulk).

ΔE_f (raw)   0.009 eV per atom
Density   3.48 g cm⁻³
Uncorrected energy   -14.78 eV per atom

CIF file:
```
data_YGeP2O
_space_group_name_H-M_alt 'P 4/m m m'
_space_group_IT_number 123
_space_group_name_Hall '-P 4 2'
_cell_length_a 5.306
_cell_length_b 5.306
_cell_length_c 4.065
_cell_angle_alpha 90.00
_cell_angle_beta 90.00
_cell_angle_gamma 90.00
loop_
_atom_site_label
_atom_site_type_symbol
_atom_site_fract_x
_atom_site_fract_y
_atom_site_fract_z
Y1 Y 0.000 0.000 0.000
Ge1 Ge 0.500 0.500 0.500
P1 P 0.000 0.500 0.000
O1 O 0.000 0.000 0.500
```

# In2RhPb

In2RhPb at its PBEsol-relaxed geometry (SCAN, Alexandria via LeMat-Bulk).

Density   10.77 g cm⁻³
Uncorrected energy   -43.89 eV per atom
ΔH_f (0 K)   0.187 eV per atom

CIF file:
```
data_In2RhPb
_space_group_name_H-M_alt 'I 4/m m m'
_space_group_IT_number 139
_space_group_name_Hall '-I 4 2'
_cell_length_a 4.379
_cell_length_b 4.379
_cell_length_c 8.679
_cell_angle_alpha 90.00
_cell_angle_beta 90.00
_cell_angle_gamma 90.00
loop_
_atom_site_label
_atom_site_type_symbol
_atom_site_fract_x
_atom_site_fract_y
_atom_site_fract_z
In1 In 0.000 0.500 0.250
Rh1 Rh 0.000 0.000 0.000
Pb1 Pb 0.000 0.000 0.500
```

# Ti2TlRu

Ti2TlRu at its PBEsol-relaxed geometry (SCAN, Alexandria via LeMat-Bulk).

Density   10.10 g cm⁻³
Uncorrected energy   -34.96 eV per atom
ΔH_f (0 K)   -0.151 eV per atom

CIF file:
```
data_Ti2TlRu
_space_group_name_H-M_alt 'F m -3 m'
_space_group_IT_number 225
_space_group_name_Hall '-F 4 2 3'
_cell_length_a 6.413
_cell_length_b 6.413
_cell_length_c 6.413
_cell_angle_alpha 90.00
_cell_angle_beta 90.00
_cell_angle_gamma 90.00
loop_
_atom_site_label
_atom_site_type_symbol
_atom_site_fract_x
_atom_site_fract_y
_atom_site_fract_z
Ti1 Ti 0.250 0.250 0.250
Tl1 Tl 0.000 0.000 0.000
Ru1 Ru 0.000 0.000 0.500
```

# RbLaTc3

RbLaTc3 at its PBEsol-relaxed geometry (SCAN, Alexandria via LeMat-Bulk).

Density   7.15 g cm⁻³
Uncorrected energy   -31.66 eV per atom
ΔH_f (0 K)   2.143 eV per atom

CIF file:
```
data_RbLaTc3
_space_group_name_H-M_alt 'P m -3 m'
_space_group_IT_number 221
_space_group_name_Hall '-P 4 2 3'
_cell_length_a 4.937
_cell_length_b 4.937
_cell_length_c 4.937
_cell_angle_alpha 90.00
_cell_angle_beta 90.00
_cell_angle_gamma 90.00
loop_
_atom_site_label
_atom_site_type_symbol
_atom_site_fract_x
_atom_site_fract_y
_atom_site_fract_z
Rb1 Rb 0.000 0.000 0.000
La1 La 0.500 0.500 0.500
Tc1 Tc 0.000 0.500 0.500
```

# Cd3TcRu

Cd3TcRu at its PBEsol-relaxed geometry (SCAN, Alexandria via LeMat-Bulk).

Density   7.20 g cm⁻³
Uncorrected energy   -30.90 eV per atom
ΔH_f (0 K)   1.327 eV per atom

CIF file:
```
data_Cd3TcRu
_space_group_name_H-M_alt 'P m -3 m'
_space_group_IT_number 221
_space_group_name_Hall '-P 4 2 3'
_cell_length_a 4.983
_cell_length_b 4.983
_cell_length_c 4.983
_cell_angle_alpha 90.00
_cell_angle_beta 90.00
_cell_angle_gamma 90.00
loop_
_atom_site_label
_atom_site_type_symbol
_atom_site_fract_x
_atom_site_fract_y
_atom_site_fract_z
Cd1 Cd 0.000 0.000 0.500
Tc1 Tc 0.500 0.500 0.500
Ru1 Ru 0.000 0.000 0.000
```

# Ba5Li3

Ba5Li3 at its PBEsol-relaxed geometry (SCAN, Alexandria via LeMat-Bulk).

Density   3.25 g cm⁻³
Uncorrected energy   -25.55 eV per atom
ΔE to the lowest computed polymorph   0.048 eV/atom
ΔH_f (0 K)   0.069 eV per atom

CIF file:
```
data_Ba5Li3
_space_group_name_H-M_alt 'C m m m'
_space_group_IT_number 65
_space_group_name_Hall '-C 2 2'
_cell_length_a 9.372
_cell_length_b 12.497
_cell_length_c 6.165
_cell_angle_alpha 90.00
_cell_angle_beta 90.00
_cell_angle_gamma 90.00
loop_
_atom_site_label
_atom_site_type_symbol
_atom_site_fract_x
_atom_site_fract_y
_atom_site_fract_z
Ba1 Ba 0.000 0.000 0.000
Ba2 Ba 0.223 0.500 0.500
Ba3 Ba 0.250 0.250 0.000
Li1 Li 0.000 0.223 0.500
Li2 Li 0.000 0.500 0.000
```

# AgMo12PbS16

AgMo12PbS16 at its PBEsol-relaxed geometry (SCAN, Alexandria via LeMat-Bulk).

ΔE_f (raw)   -0.706 eV per atom
Density   6.16 g cm⁻³
Uncorrected energy   -23.37 eV per atom

CIF file:
```
data_AgMo12PbS16
_space_group_name_H-M_alt 'R -3'
_space_group_IT_number 148
_space_group_name_Hall '-R 3'
_cell_length_a 9.1222
_cell_length_b 9.1222
_cell_length_c 22.2245
_cell_angle_alpha 90.00
_cell_angle_beta 90.00
_cell_angle_gamma 120.00
loop_
_atom_site_label
_atom_site_type_symbol
_atom_site_fract_x
_atom_site_fract_y
_atom_site_fract_z
Ag1 Ag 0.0000 0.0000 0.0000
Mo1 Mo 0.0157 0.1762 0.8029
Mo2 Mo 0.0156 0.1791 0.3008
Pb1 Pb 0.0000 0.0000 0.5000
S1 S 0.0000 0.0000 0.1136
S2 S 0.0000 0.0000 0.3799
S3 S 0.0089 0.3778 0.8744
S4 S 0.0132 0.3784 0.3759
```

# ZrInIr2

ZrInIr2 at its PBEsol-relaxed geometry (SCAN, Alexandria via LeMat-Bulk).

Density   14.60 g cm⁻³
Uncorrected energy   -52.27 eV per atom
ΔH_f (0 K)   -0.696 eV per atom

CIF file:
```
data_ZrInIr2
_space_group_name_H-M_alt 'P 4/m m m'
_space_group_IT_number 123
_space_group_name_Hall '-P 4 2'
_cell_length_a 4.285
_cell_length_b 4.285
_cell_length_c 3.656
_cell_angle_alpha 90.00
_cell_angle_beta 90.00
_cell_angle_gamma 90.00
loop_
_atom_site_label
_atom_site_type_symbol
_atom_site_fract_x
_atom_site_fract_y
_atom_site_fract_z
Zr1 Zr 0.000 0.000 0.000
In1 In 0.500 0.500 0.000
Ir1 Ir 0.000 0.500 0.500
```

# Cs2Sn3Sb2S10

Cs2Sn3Sb2S10 at its PBEsol-relaxed geometry (SCAN, Alexandria via LeMat-Bulk).

ΔE_f (raw)   -0.636 eV per atom
Density   4.12 g cm⁻³
Uncorrected energy   -21.47 eV per atom

CIF file:
```
data_Cs2Sn3Sb2S10
_space_group_name_H-M_alt 'P 1 21/c 1'
_space_group_IT_number 14
_space_group_name_Hall '-P 2ybc'
_cell_length_a 6.944
_cell_length_b 13.285
_cell_length_c 11.945
_cell_angle_alpha 90.00
_cell_angle_beta 119.80
_cell_angle_gamma 90.00
loop_
_atom_site_label
_atom_site_type_symbol
_atom_site_fract_x
_atom_site_fract_y
_atom_site_fract_z
Cs1 Cs 0.042 0.163 0.153
Sn1 Sn 0.000 0.000 0.500
Sn2 Sn 0.396 0.051 0.843
Sb1 Sb 0.498 0.645 0.909
S1 S 0.002 0.064 0.704
S2 S 0.102 0.173 0.457
S3 S 0.421 0.696 0.686
S4 S 0.428 0.531 0.134
S5 S 0.437 0.109 0.055
```

# V2O5

V2O5 at its PBEsol-relaxed geometry (SCAN, Alexandria via LeMat-Bulk).

ΔE_f (raw)   -2.447 eV per atom
Density   4.27 g cm⁻³
Uncorrected energy   -11.89 eV per atom

CIF file:
```
data_V2O5
_space_group_name_H-M_alt 'C 1 2/c 1'
_space_group_IT_number 15
_space_group_name_Hall '-C 2yc'
_cell_length_a 11.877
_cell_length_b 4.639
_cell_length_c 5.291
_cell_angle_alpha 90.00
_cell_angle_beta 103.71
_cell_angle_gamma 90.00
loop_
_atom_site_label
_atom_site_type_symbol
_atom_site_fract_x
_atom_site_fract_y
_atom_site_fract_z
V1 V 0.141 0.239 0.245
O1 O 0.000 0.114 0.250
O2 O 0.110 0.442 0.983
O3 O 0.204 0.069 0.631
```

# TaTe2As

TaTe2As at its PBEsol-relaxed geometry (SCAN, Alexandria via LeMat-Bulk).

ΔE_f (raw)   0.622 eV per atom
Density   10.03 g cm⁻³
Uncorrected energy   -39.70 eV per atom

CIF file:
```
data_TaTe2As
_space_group_name_H-M_alt 'P m m m'
_space_group_IT_number 47
_space_group_name_Hall '-P 2 2'
_cell_length_a 3.417
_cell_length_b 4.707
_cell_length_c 5.263
_cell_angle_alpha 90.00
_cell_angle_beta 90.00
_cell_angle_gamma 90.00
loop_
_atom_site_label
_atom_site_type_symbol
_atom_site_fract_x
_atom_site_fract_y
_atom_site_fract_z
Ta1 Ta 0.000 0.000 0.000
Te1 Te 0.000 0.500 0.500
Te2 Te 0.500 0.500 0.000
As1 As 0.500 0.000 0.500
```

# Li3CuAsCO7

Li3CuAsCO7 at its PBEsol-relaxed geometry (SCAN, Alexandria via LeMat-Bulk).

ΔE_f (raw)   -1.713 eV per atom
Density   3.48 g cm⁻³
Uncorrected energy   -9.12 eV per atom

CIF file:
```
data_Li3CuAsCO7
_space_group_name_H-M_alt 'P 1 21/m 1'
_space_group_IT_number 11
_space_group_name_Hall '-P 2yb'
_cell_length_a 5.156
_cell_length_b 6.240
_cell_length_c 8.606
_cell_angle_alpha 90.00
_cell_angle_beta 102.11
_cell_angle_gamma 90.00
loop_
_atom_site_label
_atom_site_type_symbol
_atom_site_fract_x
_atom_site_fract_y
_atom_site_fract_z
Li1 Li 0.149 0.250 0.079
Li2 Li 0.236 0.502 0.727
Cu1 Cu 0.243 0.750 0.306
As1 As 0.297 0.250 0.413
C1 C 0.414 0.750 0.011
O1 O 0.165 0.047 0.284
O2 O 0.202 0.750 0.071
O3 O 0.203 0.250 0.589
O4 O 0.351 0.250 0.901
O5 O 0.361 0.750 0.544
O6 O 0.384 0.750 0.858
```

# LiTc

LiTc at its PBEsol-relaxed geometry (SCAN, Alexandria via LeMat-Bulk).

Density   5.81 g cm⁻³
Uncorrected energy   -18.62 eV per atom
ΔE to the lowest computed polymorph   0.000 eV/atom
ΔH_f (0 K)   0.107 eV per atom

CIF file:
```
data_LiTc
_space_group_name_H-M_alt 'P -3 m 1'
_space_group_IT_number 164
_space_group_name_Hall '-P 3 2"'
_cell_length_a 2.7319
_cell_length_b 2.7319
_cell_length_c 9.2762
_cell_angle_alpha 90.00
_cell_angle_beta 90.00
_cell_angle_gamma 120.00
loop_
_atom_site_label
_atom_site_type_symbol
_atom_site_fract_x
_atom_site_fract_y
_atom_site_fract_z
Li1 Li 0.3333 0.6667 0.1417
Tc1 Tc 0.3333 0.6667 0.6074
```

# YHI2

YHI2 at its PBEsol-relaxed geometry (SCAN, Alexandria via LeMat-Bulk).

Density   5.55 g cm⁻³
Uncorrected energy   -27.52 eV per atom

CIF file:
```
data_YHI2
_space_group_name_H-M_alt 'C 1 m 1'
_space_group_IT_number 8
_space_group_name_Hall 'C -2y'
_cell_length_a 6.808
_cell_length_b 3.932
_cell_length_c 8.024
_cell_angle_alpha 90.00
_cell_angle_beta 106.74
_cell_angle_gamma 90.00
loop_
_atom_site_label
_atom_site_type_symbol
_atom_site_fract_x
_atom_site_fract_y
_atom_site_fract_z
Y1 Y 0.000 0.000 0.000
H1 H 0.333 0.000 0.000
I1 I 0.074 0.500 0.728
I2 I 0.259 0.500 0.272
```

# CaCo2Au

CaCo2Au at its PBEsol-relaxed geometry (SCAN, Alexandria via LeMat-Bulk).

Density   9.53 g cm⁻³
Uncorrected energy   -28.18 eV per atom
ΔH_f (0 K)   0.174 eV per atom

CIF file:
```
data_CaCo2Au
_space_group_name_H-M_alt 'I -4 m 2'
_space_group_IT_number 119
_space_group_name_Hall 'I -4 -2'
_cell_length_a 3.959
_cell_length_b 3.959
_cell_length_c 7.891
_cell_angle_alpha 90.00
_cell_angle_beta 90.00
_cell_angle_gamma 90.00
loop_
_atom_site_label
_atom_site_type_symbol
_atom_site_fract_x
_atom_site_fract_y
_atom_site_fract_z
Ca1 Ca 0.000 0.000 0.000
Co1 Co 0.000 0.000 0.500
Co2 Co 0.000 0.500 0.250
Au1 Au 0.000 0.500 0.750
```

# HgPd2Se2

HgPd2Se2 at its PBEsol-relaxed geometry (SCAN, Alexandria via LeMat-Bulk).

ΔE_f (raw)   -0.062 eV per atom
Density   9.58 g cm⁻³
Uncorrected energy   -34.84 eV per atom

CIF file:
```
data_HgPd2Se2
_space_group_name_H-M_alt 'I 4/m m m'
_space_group_IT_number 139
_space_group_name_Hall '-I 4 2'
_cell_length_a 4.917
_cell_length_b 4.917
_cell_length_c 8.190
_cell_angle_alpha 90.00
_cell_angle_beta 90.00
_cell_angle_gamma 90.00
loop_
_atom_site_label
_atom_site_type_symbol
_atom_site_fract_x
_atom_site_fract_y
_atom_site_fract_z
Hg1 Hg 0.000 0.000 0.000
Pd1 Pd 0.000 0.000 0.330
Se1 Se 0.000 0.500 0.250
```

# Tc2RhSe

Tc2RhSe at its PBEsol-relaxed geometry (SCAN, Alexandria via LeMat-Bulk).

ΔE_f (raw)   0.209 eV per atom
Density   11.23 g cm⁻³
Uncorrected energy   -30.78 eV per atom

CIF file:
```
data_Tc2RhSe
_space_group_name_H-M_alt 'P 4/m m m'
_space_group_IT_number 123
_space_group_name_Hall '-P 4 2'
_cell_length_a 2.925
_cell_length_b 2.925
_cell_length_c 6.530
_cell_angle_alpha 90.00
_cell_angle_beta 90.00
_cell_angle_gamma 90.00
loop_
_atom_site_label
_atom_site_type_symbol
_atom_site_fract_x
_atom_site_fract_y
_atom_site_fract_z
Tc1 Tc 0.000 0.000 0.230
Rh1 Rh 0.500 0.500 0.500
Se1 Se 0.500 0.500 0.000
```

# Tl3FeCl5

Tl3FeCl5 at its PBEsol-relaxed geometry (SCAN, Alexandria via LeMat-Bulk).

ΔE_f (raw)   -1.077 eV per atom
Density   5.86 g cm⁻³
Uncorrected energy   -31.64 eV per atom

CIF file:
```
data_Tl3FeCl5
_space_group_name_H-M_alt 'I 4/m c m'
_space_group_IT_number 140
_space_group_name_Hall '-I 4 2c'
_cell_length_a 8.147
_cell_length_b 8.147
_cell_length_c 14.445
_cell_angle_alpha 90.00
_cell_angle_beta 90.00
_cell_angle_gamma 90.00
loop_
_atom_site_label
_atom_site_type_symbol
_atom_site_fract_x
_atom_site_fract_y
_atom_site_fract_z
Tl1 Tl 0.000 0.000 0.250
Tl2 Tl 0.156 0.344 0.000
Fe1 Fe 0.000 0.500 0.250
Cl1 Cl 0.000 0.000 0.000
Cl2 Cl 0.155 0.345 0.346
```

# ZrMnNi2

ZrMnNi2 at its PBEsol-relaxed geometry (SCAN, Alexandria via LeMat-Bulk).

Density   8.24 g cm⁻³
Uncorrected energy   -20.65 eV per atom
ΔH_f (0 K)   -0.320 eV per atom

CIF file:
```
data_ZrMnNi2
_space_group_name_H-M_alt 'I 4/m m m'
_space_group_IT_number 139
_space_group_name_Hall '-I 4 2'
_cell_length_a 3.805
_cell_length_b 3.805
_cell_length_c 7.340
_cell_angle_alpha 90.00
_cell_angle_beta 90.00
_cell_angle_gamma 90.00
loop_
_atom_site_label
_atom_site_type_symbol
_atom_site_fract_x
_atom_site_fract_y
_atom_site_fract_z
Zr1 Zr 0.000 0.000 0.000
Mn1 Mn 0.000 0.000 0.500
Ni1 Ni 0.000 0.500 0.250
```